(1)
The following is a DFT calculation (PBE) of a relaxed structure of LiPr2PPt6.

Calculated values
crystal system	orthorhombic

a = 5.605 Å, b = 8.030 Å, c = 8.717 Å
α = 90.00°, β = 90.00°, γ = 90.00°
Element x y z (fractional)
Li  0.000  0.717  0.500
Li  0.500  0.283  0.000
Pr  0.500  0.724  0.272
Pr  0.000  0.276  0.772
Pr  0.500  0.724  0.728
Pr  0.000  0.276  0.228
P  0.500  0.230  0.500
P  0.000  0.770  0.000
Pt  0.500  0.114  0.250
Pt  0.500  0.114  0.750
Pt  0.000  0.886  0.250
Pt  0.000  0.886  0.750
Pt  0.243  0.989  0.500
Pt  0.757  0.989  0.500
Pt  0.241  0.455  0.500
Pt  0.759  0.455  0.500
Pt  0.741  0.545  0.000
Pt  0.259  0.545  0.000
Pt  0.257  0.011  0.000
Pt  0.743  0.011  0.000


(2)
The following is a DFT calculation (PBE) of a relaxed structure of PmZrAl.

Calculated values
crystal system	tetragonal

a = 3.197 Å, b = 3.197 Å, c = 7.389 Å
α = 102.49°, β = 102.49°, γ = 90.00°
Element x y z (fractional)
Al  0.676  0.676  0.352
Zr  0.312  0.312  0.624
Pm  0.012  0.012  0.024


DOS(E_F) for every record listed, in sequence, given in states/eV per cell: 6.68, 2.54.
Uncorrected energy for every record listed, in sequence, given in eV/atom: -6.16, -5.85.
Energy relative to the elements for every record listed, in sequence, given in eV per atom: -0.85, -0.16.